one | First-principles (GGA-PBE) data for an optimized crystal structure of ZrAs2RuBr, as listed in the Alexandria database. Values from VASP.

Values from the calculation:
DOS(E_F): 5.7 states/eV per cell
Theoretical density: 6192 kg/m3
SG: P4/mmm, No. 123

Cell and atoms, written as Quantum ESPRESSO input:
```
&SYSTEM
  ibrav = 0, nat = 5, ntyp = 4
/
ATOMIC_SPECIES
Ru 101.07 Ru.upf
Br 79.90 Br.upf
As 74.92 As.upf
Zr 91.22 Zr.upf
CELL_PARAMETERS angstrom
-0.267 4.128 -2.323
1.947 -2.026 -3.823
-4.577 -1.239 -1.675
ATOMIC_POSITIONS angstrom
Ru 0.000 0.000 0.000
Br -2.289 -0.619 -0.838
As -0.133 2.064 -1.162
As 0.974 -1.013 -1.911
Zr -1.448 0.432 -3.911
```



two | First-principles (GGA-PBE) data for an optimized crystal structure of ZrAs2RuBr, as listed in the Alexandria database. Values from VASP.

Values from the calculation:
DOS(E_F): 4.6 states/eV per cell
Theoretical density: 4978 kg/m3
SG: P4/mmm, No. 123

Cell and atoms, written as Quantum ESPRESSO input:
```
&SYSTEM
  ibrav = 0, nat = 5, ntyp = 4
/
ATOMIC_SPECIES
Br 79.90 Br.upf
As 74.92 As.upf
Ru 101.07 Ru.upf
Zr 91.22 Zr.upf
CELL_PARAMETERS angstrom
-0.577 -3.973 -3.294
0.162 -3.327 3.984
-5.186 0.342 0.496
ATOMIC_POSITIONS angstrom
Br -2.593 0.171 0.248
As -0.288 -1.987 -1.647
Ru -2.801 -3.479 0.593
As 0.081 -1.663 1.992
Zr 0.000 0.000 0.000
```



Stability check: which of them is most stable? one.



one | First-principles (GGA-PBE) data for an optimized crystal structure of ZrAsRuBr2, as listed in the Alexandria database. Values from VASP.

Values from the calculation:
DOS(E_F): 6.1 states/eV per cell
Theoretical density: 5894 kg/m3
SG: P4/mmm, No. 123

Cell and atoms, written as Quantum ESPRESSO input:
```
&SYSTEM
  ibrav = 0, nat = 5, ntyp = 4
/
ATOMIC_SPECIES
Br 79.90 Br.upf
As 74.92 As.upf
Ru 101.07 Ru.upf
Zr 91.22 Zr.upf
CELL_PARAMETERS angstrom
5.035 0.000 0.000
0.000 5.035 0.000
0.000 0.000 4.746
ATOMIC_POSITIONS angstrom
Br 0.000 2.517 0.000
As 0.000 0.000 2.373
Ru 0.000 0.000 0.000
Zr 2.517 2.517 2.373
Br 2.517 0.000 0.000
```



two | First-principles (GGA-PBE) data for an optimized crystal structure of ZrAsRuBr2, as listed in the Alexandria database. Values from VASP.

Values from the calculation:
DOS(E_F): 4.2 states/eV per cell
Theoretical density: 4850 kg/m3
SG: P4/mmm, No. 123

Cell and atoms, written as Quantum ESPRESSO input:
```
&SYSTEM
  ibrav = 0, nat = 5, ntyp = 4
/
ATOMIC_SPECIES
As 74.92 As.upf
Br 79.90 Br.upf
Zr 91.22 Zr.upf
Ru 101.07 Ru.upf
CELL_PARAMETERS angstrom
5.232 0.000 0.000
0.000 5.232 0.000
0.000 0.000 5.342
ATOMIC_POSITIONS angstrom
As 0.000 0.000 2.671
Br 2.616 0.000 0.000
Br 0.000 2.616 0.000
Zr 0.000 0.000 0.000
Ru 2.616 2.616 2.671
```



Stability check: which of them is most stable? one.



one | First-principles (GGA-PBE) data for an optimized crystal structure of As2SBr, as listed in the Alexandria database. Values from VASP.

Values from the calculation:
DOS(E_F): 2.9 states/eV per cell
Theoretical density: 5497 kg/m3
SG: Fm-3m, No. 225

Cell and atoms, written as Quantum ESPRESSO input:
```
&SYSTEM
  ibrav = 0, nat = 4, ntyp = 3
/
ATOMIC_SPECIES
As 74.92 As.upf
S 32.06 S.upf
Br 79.90 Br.upf
CELL_PARAMETERS angstrom
0.673 -3.841 2.830
0.459 0.567 4.763
-3.516 -1.465 2.950
ATOMIC_POSITIONS angstrom
As -0.596 -1.185 2.636
As -1.788 -3.554 7.907
S 0.000 0.000 0.000
Br -1.192 -2.369 5.271
```



two | First-principles (GGA-PBE) data for an optimized crystal structure of As2SBr, as listed in the Alexandria database. Values from VASP.

Values from the calculation:
DOS(E_F): 2.9 states/eV per cell
Theoretical density: 4292 kg/m3
SG: I-42d, No. 122

Cell and atoms, written as Quantum ESPRESSO input:
```
&SYSTEM
  ibrav = 0, nat = 8, ntyp = 3
/
ATOMIC_SPECIES
Br 79.90 Br.upf
S 32.06 S.upf
As 74.92 As.upf
CELL_PARAMETERS angstrom
4.930 0.000 0.000
0.000 4.930 0.000
2.465 2.465 8.336
ATOMIC_POSITIONS angstrom
Br 4.930 2.465 4.168
S 2.465 2.465 0.000
Br 0.000 0.000 0.000
As 3.157 1.232 2.084
As 1.773 3.697 2.084
S 2.465 4.930 4.168
As 6.162 5.622 6.252
As 3.697 4.238 6.252
```



Stability check: which of them is most stable? two.



one | First-principles (GGA-PBE) data for an optimized crystal structure of AsSBr2, as listed in the Alexandria database. Values from VASP.

Values from the calculation:
DOS(E_F): 5.5 states/eV per cell
Theoretical density: 3680 kg/m3
SG: I-42d, No. 122

Cell and atoms, written as Quantum ESPRESSO input:
```
&SYSTEM
  ibrav = 0, nat = 8, ntyp = 3
/
ATOMIC_SPECIES
As 74.92 As.upf
Br 79.90 Br.upf
S 32.06 S.upf
CELL_PARAMETERS angstrom
-7.120 0.127 -7.079
-5.980 -5.481 5.918
-7.451 -0.676 0.362
ATOMIC_POSITIONS angstrom
As -10.561 -1.613 -3.649
Br -9.576 -1.667 -1.080
Br -8.162 -0.755 -4.689
As 0.000 0.000 0.000
Br -12.509 -3.472 -3.079
S -9.991 -4.417 2.849
Br -11.997 -0.560 -5.746
S -6.550 -2.677 -0.580
```



two | First-principles (GGA-PBE) data for an optimized crystal structure of AsSBr2, as listed in the Alexandria database. Values from VASP.

Values from the calculation:
DOS(E_F): 1.9 states/eV per cell
Theoretical density: 5081 kg/m3
SG: Fm-3m, No. 225

Cell and atoms, written as Quantum ESPRESSO input:
```
&SYSTEM
  ibrav = 0, nat = 4, ntyp = 3
/
ATOMIC_SPECIES
Br 79.90 Br.upf
S 32.06 S.upf
As 74.92 As.upf
CELL_PARAMETERS angstrom
3.886 -2.996 -0.833
0.760 -3.959 2.919
-0.732 -4.587 -1.788
ATOMIC_POSITIONS angstrom
Br 0.979 -2.886 0.075
S 0.000 0.000 0.000
As 1.957 -5.771 0.149
Br 2.936 -8.657 0.224
```



three | First-principles (GGA-PBE) data for an optimized crystal structure of AsSBr2, as listed in the Alexandria database. Values from VASP.

Values from the calculation:
DOS(E_F): 0.0 states/eV per cell
Theoretical density: 2363 kg/m3
SG: P-1, No. 2

Cell and atoms, written as Quantum ESPRESSO input:
```
&SYSTEM
  ibrav = 0, nat = 16, ntyp = 3
/
ATOMIC_SPECIES
As 74.92 As.upf
Br 79.90 Br.upf
S 32.06 S.upf
CELL_PARAMETERS angstrom
7.000 -0.601 0.026
-0.759 6.932 0.065
0.248 0.154 15.607
ATOMIC_POSITIONS angstrom
As 2.993 4.995 3.305
Br 2.381 3.034 13.801
As -0.306 5.142 4.483
Br 4.108 3.451 1.897
S 4.860 2.758 11.222
As 3.496 1.490 12.392
Br 0.807 3.529 9.736
Br 1.564 6.166 1.790
Br 4.924 0.319 13.907
Br 0.408 6.828 5.995
Br 6.080 -0.343 9.702
As 6.795 1.343 11.214
S 2.172 0.197 11.447
S 1.629 3.727 4.475
S 4.316 6.288 4.251
Br 5.682 2.956 5.962
```



four | First-principles (GGA-PBE) data for an optimized crystal structure of AsSBr2, as listed in the Alexandria database. Values from VASP.

Values from the calculation:
DOS(E_F): 3.7 states/eV per cell
Theoretical density: 4676 kg/m3
SG: R-3m, No. 166

Cell and atoms, written as Quantum ESPRESSO input:
```
&SYSTEM
  ibrav = 0, nat = 4, ntyp = 3
/
ATOMIC_SPECIES
Br 79.90 Br.upf
As 74.92 As.upf
S 32.06 S.upf
CELL_PARAMETERS angstrom
1.948 0.000 9.608
-0.974 1.687 9.608
-0.974 -1.687 9.608
ATOMIC_POSITIONS angstrom
Br 0.000 0.000 26.296
Br 0.000 0.000 2.529
As 0.000 0.000 0.000
S 0.000 0.000 14.412
```



Stability check: which of them is most stable? three.



one | First-principles (GGA-PBE) data for an optimized crystal structure of As3SBr, as listed in the Alexandria database. Values from VASP.

Values from the calculation:
DOS(E_F): 1.3 states/eV per cell
Theoretical density: 4769 kg/m3
SG: Pm-3m, No. 221

Cell and atoms, written as Quantum ESPRESSO input:
```
&SYSTEM
  ibrav = 0, nat = 5, ntyp = 3
/
ATOMIC_SPECIES
Br 79.90 Br.upf
As 74.92 As.upf
S 32.06 S.upf
CELL_PARAMETERS angstrom
-2.926 0.459 3.897
1.708 -4.227 1.781
3.532 2.424 2.367
ATOMIC_POSITIONS angstrom
Br 1.157 -0.672 4.022
As 1.766 1.212 1.184
As 0.854 -2.114 0.890
As -1.463 0.230 1.948
S 0.000 0.000 0.000
```



two | First-principles (GGA-PBE) data for an optimized crystal structure of As3SBr, as listed in the Alexandria database. Values from VASP.

Values from the calculation:
DOS(E_F): 5.5 states/eV per cell
Theoretical density: 4263 kg/m3
SG: Pm-3m, No. 221

Cell and atoms, written as Quantum ESPRESSO input:
```
&SYSTEM
  ibrav = 0, nat = 5, ntyp = 3
/
ATOMIC_SPECIES
As 74.92 As.upf
S 32.06 S.upf
Br 79.90 Br.upf
CELL_PARAMETERS angstrom
5.081 0.000 0.000
0.000 5.081 0.000
0.000 0.000 5.081
ATOMIC_POSITIONS angstrom
As 0.000 2.540 0.000
S 2.540 2.540 2.540
As 0.000 0.000 2.540
Br 0.000 0.000 0.000
As 2.540 0.000 0.000
```



Stability check: which of them is most stable? one.



one | First-principles (GGA-PBE) data for an optimized crystal structure of AsS2Br, as listed in the Alexandria database. Values from VASP.

Values from the calculation:
DOS(E_F): 2.2 states/eV per cell
Theoretical density: 3730 kg/m3
SG: I-42d, No. 122

Cell and atoms, written as Quantum ESPRESSO input:
```
&SYSTEM
  ibrav = 0, nat = 8, ntyp = 3
/
ATOMIC_SPECIES
Br 79.90 Br.upf
S 32.06 S.upf
As 74.92 As.upf
CELL_PARAMETERS angstrom
-6.223 -2.885 1.560
2.705 -2.622 5.941
-2.798 0.527 5.671
ATOMIC_POSITIONS angstrom
Br 0.000 0.000 0.000
S -0.231 -2.074 5.437
S -5.370 -4.236 10.392
S -3.225 -1.857 7.490
As -0.926 -2.424 7.681
S -3.806 -1.793 3.024
Br -5.390 -2.556 5.491
As -1.759 -2.753 3.750
```



two | First-principles (GGA-PBE) data for an optimized crystal structure of AsS2Br, as listed in the Alexandria database. Values from VASP.

Values from the calculation:
DOS(E_F): 3.7 states/eV per cell
Theoretical density: 4842 kg/m3
SG: Fm-3m, No. 225

Cell and atoms, written as Quantum ESPRESSO input:
```
&SYSTEM
  ibrav = 0, nat = 4, ntyp = 3
/
ATOMIC_SPECIES
S 32.06 S.upf
As 74.92 As.upf
Br 79.90 Br.upf
CELL_PARAMETERS angstrom
3.966 -2.421 0.911
2.380 0.780 4.019
0.036 -3.289 3.407
ATOMIC_POSITIONS angstrom
S 1.596 -1.233 2.084
S 4.787 -3.698 6.253
As 0.000 0.000 0.000
Br 3.191 -2.465 4.168
```



Stability check: which of them is most stable? one.